A relaxed structure of Zn2CdB2Rh5. Source: the Alexandria database, functional GGA-PBE.

Results
size of the total moment	0.000	μB per atom
final energy	-5.66	eV per atom
energy of formation from the pure elements	-298	meV per atom
calculated density	9.59	g/cm3
SG	P4/mbm

Lattice parameters (Å, degrees): 9.638 9.638 2.906 90.00 90.00 90.00
Fractional coordinates of all 20 atoms:
Zn (0.179, 0.321, 0.000)
Zn (0.321, 0.821, 0.000)
Zn (0.679, 0.179, 0.000)
Zn (0.821, 0.679, 0.000)
Cd (0.000, 0.000, 0.000)
Cd (0.500, 0.500, 0.000)
B (0.124, 0.624, 0.000)
B (0.376, 0.124, 0.000)
B (0.624, 0.876, 0.000)
B (0.876, 0.376, 0.000)
Rh (0.000, 0.500, 0.500)
Rh (0.072, 0.774, 0.500)
Rh (0.226, 0.072, 0.500)
Rh (0.274, 0.572, 0.500)
Rh (0.428, 0.274, 0.500)
Rh (0.500, 0.000, 0.500)
Rh (0.572, 0.726, 0.500)
Rh (0.726, 0.428, 0.500)
Rh (0.774, 0.928, 0.500)
Rh (0.928, 0.226, 0.500)